# 1
PBE Dy3Ho5Sc2, relaxed; space-group type = P-1 (2); crystal system = triclinic; E above lowest polymorph = 0 kJ/mol of formula units
1.0
-8.254 3.878 -1.123
-0.060 -8.277 3.992
4.790 5.561 5.552
Dy Ho Sc
6 10 4
direct
0.225 0.073 0.048
0.775 0.927 0.952
0.578 0.526 0.350
0.422 0.474 0.650
0.176 0.728 0.150
0.824 0.272 0.850
0.273 0.425 0.948
0.727 0.575 0.052
0.026 0.678 0.452
0.524 0.175 0.449
0.974 0.322 0.548
0.476 0.825 0.551
0.878 0.628 0.750
0.122 0.372 0.250
0.372 0.121 0.750
0.628 0.879 0.250
0.926 0.976 0.648
0.074 0.024 0.352
0.328 0.778 0.851
0.672 0.222 0.149

---

# 2
PBE DyHo2Sc8, relaxed; space-group type = C2/m (12); crystal system = monoclinic
1.0
5.160 1.852 0.000
2.863 8.221 0.000
1.431 4.110 8.021
Dy Ho Sc
1 2 8
direct
0.500 0.000 0.000
0.000 0.310 0.381
0.000 0.690 0.619
0.775 0.097 0.257
0.775 0.354 0.743
0.244 0.498 0.000
0.500 0.798 0.404
0.500 0.202 0.596
0.756 0.502 0.000
0.225 0.646 0.257
0.225 0.903 0.743

---

# 3
PBE Dy8HoSc5, relaxed; space-group type = I-4 (82); crystal system = tetragonal
1.0
7.800 0.001 -2.463
-3.995 6.538 -2.858
0.190 -0.001 8.178
Dy Ho Sc
8 1 5
direct
0.158 0.736 0.081
0.919 0.078 0.656
0.731 0.256 0.336
0.664 0.395 0.920
0.525 0.605 0.268
0.578 0.922 0.842
0.344 0.264 0.422
0.080 0.744 0.475
0.250 0.500 0.750
0.038 0.312 0.131
0.869 0.907 0.181
0.819 0.688 0.726
0.500 0.000 0.500
0.275 0.093 0.962

---

# 4
PBE DyHo5Sc, relaxed; space-group type = P2_1/m (11); crystal system = monoclinic
1.0
3.556 0.000 0.000
0.000 9.033 -1.119
0.000 -1.093 13.480
Dy Ho Sc
2 10 2
direct
0.750 0.118 0.140
0.250 0.882 0.860
0.250 0.009 0.366
0.750 0.197 0.888
0.750 0.327 0.507
0.250 0.419 0.083
0.250 0.345 0.723
0.750 0.655 0.277
0.750 0.581 0.917
0.250 0.673 0.493
0.250 0.803 0.112
0.750 0.991 0.634
0.250 0.354 0.308
0.750 0.646 0.692

---

# 5
PBE Dy3HoSc4, relaxed; space-group type = Pmn2_1 (31); crystal system = orthorhombic
1.0
6.007 0.000 0.000
0.000 6.937 0.000
0.000 0.000 10.769
Dy Ho Sc
6 2 8
direct
0.643 0.634 0.000
0.985 0.634 0.250
0.485 0.366 0.250
0.143 0.366 0.500
0.485 0.366 0.750
0.985 0.634 0.750
0.143 0.366 0.000
0.643 0.634 0.500
0.151 0.883 0.000
0.651 0.117 0.000
0.978 0.117 0.250
0.478 0.883 0.250
0.151 0.883 0.500
0.651 0.117 0.500
0.478 0.883 0.750
0.978 0.117 0.750

---

# 6
PBE DyHoSc2, relaxed; space-group type = R3m (160); crystal system = trigonal; E above lowest polymorph = 2 kJ/mol of formula units
1.0
-1.598 2.573 -1.624
-2.455 1.787 1.610
6.128 8.419 3.669
Dy Ho Sc
1 1 2
direct
0.666 0.666 0.001
0.500 0.500 0.499
0.084 0.084 0.749
0.250 0.250 0.251

---

# 7
PBE DyHo6Sc2, relaxed; space-group type = C2/c (15); crystal system = monoclinic; E above lowest polymorph = 48 kJ/mol of formula units
1.0
6.483 -0.103 -0.099
1.779 9.081 -0.168
1.779 0.126 9.082
Dy Ho Sc
2 12 4
direct
0.250 0.140 0.860
0.750 0.860 0.140
0.499 0.618 0.329
0.001 0.671 0.382
0.501 0.382 0.671
0.999 0.329 0.618
0.736 0.050 0.462
0.764 0.538 0.950
0.264 0.950 0.538
0.236 0.462 0.050
0.317 0.793 0.965
0.183 0.035 0.207
0.683 0.207 0.035
0.817 0.965 0.793
0.127 0.652 0.709
0.373 0.291 0.348
0.873 0.348 0.291
0.627 0.709 0.652

---

# 8
PBE Dy2Ho4Sc3, relaxed; space-group type = C2/c (15); crystal system = monoclinic; E above lowest polymorph = 47 kJ/mol of formula units
1.0
-3.174 -3.558 -3.666
7.403 -5.677 -1.988
-0.188 -7.290 6.149
Dy Ho Sc
4 8 6
direct
0.176 0.760 0.476
0.324 0.524 0.240
0.824 0.240 0.524
0.676 0.476 0.760
0.510 0.093 0.810
0.990 0.190 0.907
0.490 0.907 0.190
0.010 0.810 0.093
0.657 0.857 0.574
0.843 0.426 0.143
0.343 0.143 0.426
0.157 0.574 0.857
0.084 0.932 0.735
0.416 0.265 0.068
0.916 0.068 0.265
0.584 0.735 0.932
0.250 0.401 0.599
0.750 0.599 0.401

---

# 9
PBE Dy2Ho5Sc5, relaxed; space-group type = C2/m (12); crystal system = monoclinic; E above lowest polymorph = 36 kJ/mol of formula units
1.0
-5.252 -0.737 0.910
-3.278 -2.348 -4.910
-0.828 -11.209 2.047
Dy Ho Sc
2 5 5
direct
0.960 0.370 0.710
0.040 0.630 0.290
0.788 0.879 0.544
0.253 0.739 0.756
0.747 0.261 0.244
0.212 0.121 0.456
0.000 0.000 0.000
0.500 0.500 0.500
0.292 0.376 0.040
0.459 0.882 0.200
0.541 0.118 0.800
0.708 0.624 0.960

---

# 10
PBE Dy2Ho7Sc, relaxed; space-group type = Cmmm (65); crystal system = orthorhombic
1.0
-2.243 2.611 -0.051
-8.531 -7.147 9.321
10.696 9.118 -3.635
Dy Ho Sc
2 7 1
direct
0.500 0.708 0.292
0.500 0.292 0.708
0.000 0.815 0.185
0.000 0.185 0.815
0.500 0.148 0.341
0.500 0.852 0.659
0.500 0.341 0.148
0.500 0.659 0.852
0.500 0.500 0.500
0.000 0.000 0.000

---

# 11
PBE Dy4HoSc7, relaxed; space-group type = C2/m (12); crystal system = monoclinic
1.0
5.527 0.000 0.000
2.763 10.868 -0.674
2.763 0.028 5.659
Dy Ho Sc
4 1 7
direct
0.645 0.226 0.485
0.355 0.774 0.515
0.700 0.704 0.896
0.300 0.296 0.104
0.000 0.000 0.000
0.792 0.915 0.501
0.208 0.085 0.499
0.033 0.619 0.316
0.967 0.381 0.684
0.354 0.516 0.775
0.500 0.000 0.000
0.646 0.484 0.225

---

# 12
PBE Dy3Ho4Sc4, relaxed; space-group type = P-1 (2); crystal system = triclinic
1.0
3.378 0.000 0.002
0.000 5.425 0.005
1.680 2.702 17.195
Dy Ho Sc
3 4 4
direct
0.137 0.637 0.727
0.863 0.363 0.273
0.000 0.000 0.000
0.591 0.091 0.819
0.268 0.267 0.465
0.732 0.733 0.535
0.409 0.909 0.181
0.546 0.545 0.911
0.454 0.455 0.089
0.318 0.819 0.362
0.682 0.181 0.638

---

# 13
PBE Dy2Ho9Sc, relaxed; space-group type = P4/mmm (123); crystal system = tetragonal
1.0
4.963 0.000 0.000
0.000 4.963 0.000
0.000 0.000 14.859
Dy Ho Sc
2 9 1
direct
0.000 0.000 0.332
0.000 0.000 0.668
0.500 0.500 0.000
0.500 0.500 0.331
0.500 0.500 0.669
0.500 0.000 0.162
0.500 0.000 0.500
0.500 0.000 0.838
0.000 0.500 0.162
0.000 0.500 0.500
0.000 0.500 0.838
0.000 0.000 0.000

---

# 14
PBE Dy5Ho4Sc, relaxed; space-group type = I4mm (107); crystal system = tetragonal; E above lowest polymorph = 123 kJ/mol of formula units
1.0
5.730 0.000 0.000
2.865 7.436 0.000
2.865 0.000 7.436
Dy Ho Sc
5 4 1
direct
0.772 0.373 0.000
0.146 0.000 0.627
0.772 0.000 0.373
0.146 0.627 0.000
0.674 0.000 0.000
0.448 0.323 0.677
0.772 0.677 0.677
0.125 0.323 0.323
0.448 0.677 0.323
0.206 0.000 0.000

---

# 15
PBE Dy7Ho3Sc, relaxed; space-group type = C2/m (12); crystal system = monoclinic; E above lowest polymorph = 121 kJ/mol of formula units
1.0
5.677 -0.153 -0.195
-2.599 7.867 1.024
-2.599 -0.913 7.881
Dy Ho Sc
7 3 1
direct
0.215 0.214 0.214
0.307 0.015 0.600
0.693 0.400 0.985
0.307 0.600 0.015
0.000 0.500 0.500
0.693 0.985 0.400
0.785 0.786 0.786
0.000 0.795 0.205
0.500 0.000 0.000
0.000 0.205 0.795
0.500 0.500 0.500

---

# 16
PBE DyHo3Sc2, relaxed; space-group type = Cmcm (63); crystal system = orthorhombic
1.0
-2.644 -2.568 -3.974
6.679 -5.343 -0.991
-5.683 -3.009 5.726
Dy Ho Sc
2 6 4
direct
0.993 0.723 0.723
0.493 0.277 0.277
0.993 0.889 0.374
0.493 0.626 0.111
0.993 0.374 0.889
0.493 0.111 0.626
0.493 0.906 0.906
0.993 0.094 0.094
0.493 0.701 0.488
0.993 0.512 0.299
0.493 0.488 0.701
0.993 0.299 0.512

---

# 17
PBE DyHo2Sc, relaxed; space-group type = P-1 (2); crystal system = triclinic; E above lowest polymorph = 5 kJ/mol of formula units
1.0
-2.849 -5.108 3.701
-4.735 -4.128 -2.890
12.584 -4.969 2.964
Dy Ho Sc
4 8 4
direct
0.249 0.003 0.377
0.751 0.997 0.623
0.251 0.497 0.123
0.749 0.503 0.877
0.752 0.998 0.875
0.248 0.002 0.125
0.748 0.502 0.625
0.252 0.498 0.375
0.752 0.498 0.125
0.248 0.502 0.875
0.749 0.002 0.375
0.251 0.998 0.625
0.249 0.504 0.628
0.751 0.496 0.372
0.251 0.996 0.872
0.749 0.004 0.128

---

# 18
PBE DyHo10Sc2, relaxed; space-group type = Fmmm (69); crystal system = orthorhombic
1.0
-3.569 4.149 -3.387
-3.382 -3.384 -6.696
-8.614 -0.091 2.851
Dy Ho Sc
1 10 2
direct
0.000 0.000 0.000
0.341 0.639 0.678
0.659 0.361 0.322
0.980 0.361 0.678
0.020 0.639 0.322
0.000 0.000 0.500
0.500 0.000 0.500
0.296 0.211 0.197
0.704 0.789 0.803
0.507 0.789 0.197
0.493 0.211 0.803
0.000 0.500 0.000
0.500 0.500 0.000

---

# 19
PBE Dy14HoSc, relaxed; space-group type = P4/mmm (123); crystal system = tetragonal
1.0
6.990 0.938 0.000
-0.938 6.990 0.000
0.000 0.000 9.954
Dy Ho Sc
14 1 1
direct
0.375 0.625 0.500
0.875 0.125 0.500
0.875 0.625 0.000
0.875 0.625 0.500
0.375 0.125 0.000
0.375 0.125 0.500
0.624 0.874 0.752
0.624 0.874 0.248
0.126 0.376 0.752
0.126 0.376 0.248
0.126 0.874 0.753
0.126 0.874 0.247
0.624 0.376 0.752
0.624 0.376 0.248
0.875 0.125 0.000
0.375 0.625 0.000

---

Energy relative to the elements per entry: 36; 145; 354; 46; 21; 19; 116; 96; 93; 172; 320; 73; 34; 232; 280; 174; 16; 328; 34 kJ/mol of formula units
Calculated volume per entry: 29.7; 27.1; 30.0; 30.6; 28.0; 27.8; 29.9; 28.8; 28.2; 31.2; 28.3; 28.6; 30.5; 31.7; 31.8; 31.1; 29.3; 31.8; 30.9 A^3/atom
Calculated total energy per entry: -4.898; -5.719; -4.956; -4.763; -5.436; -5.412; -4.836; -5.058; -5.232; -4.580; -5.333; -5.153; -4.699; -4.525; -4.489; -4.866; -4.981; -4.588; -4.686 eV/atom